Here is an optimized crystal structure of BaNaTe from the Alexandria database. Energies are from PBE.

Unit cell a=4.8369 b=5.1490 c=5.1490 alpha=120.00 beta=90.00 gamma=90.00
Site moments in Bohr magnetons follow the coordinates.
Fractional coordinates of all 3 atoms:
Na 0.1664 0.0000 0.0000  0.03
Ba 0.6667 0.6667 0.3333  0.18
Te 0.1669 0.3333 0.6667  0.01

magnetic moment	0.96	μB per cell
mass density	4.3	g cm⁻³
SG	P-6m2, No. 187
VASP energy	-3.08	eV per atom
E_form (uncorrected)	-0.951	eV/atom

Here is an optimized crystal structure of BaNa2Te2 from the Alexandria database. Energies are from PBE.

Unit cell a=8.7419 b=8.7419 c=4.1355 alpha=90.00 beta=90.00 gamma=90.00
Fractional coordinates of all 10 atoms:
Na 0.6152 0.1152 0.0000
Ba 0.0000 0.0000 0.0000
Te 0.3135 0.1865 0.5000
Te 0.8135 0.3135 0.5000
Te 0.1865 0.6865 0.5000
Na 0.1152 0.3848 0.0000
Na 0.3848 0.8848 0.0000
Ba 0.5000 0.5000 0.0000
Te 0.6865 0.8135 0.5000
Na 0.8848 0.6152 0.0000

magnetic moment	0.00	μB per cell
mass density	4.6	g cm⁻³
SG	P4/mbm, No. 127
VASP energy	-3.19	eV per atom
relative energy among the computed polymorphs	0.140	eV per atom
E_form (uncorrected)	-1.019	eV/atom

Here is an optimized crystal structure of BaNa3Te from the Alexandria database. Energies are from PBE.

Unit cell a=6.5789 b=6.5789 c=6.5789 alpha=90.00 beta=90.00 gamma=90.00
Site moments in Bohr magnetons follow the coordinates.
Fractional coordinates of all 5 atoms:
Te 0.5000 0.5000 0.5000  -0.01
Na 0.0000 0.0000 0.5000  0.04
Na 0.0000 0.5000 0.0000  0.04
Na 0.5000 0.0000 0.0000  0.02
Ba 0.0000 0.0000 0.0000  0.27

magnetic moment	1.00	μB per cell
mass density	1.9	g cm⁻³
SG	Pm-3m, No. 221
VASP energy	-1.19	eV per atom
relative energy among the computed polymorphs	0.900	eV per atom
E_form (uncorrected)	0.616	eV/atom

Here is an optimized crystal structure of BaNaTe3 from the Alexandria database. Energies are from PBE.

Unit cell a=5.6448 b=5.6448 c=5.6448 alpha=90.00 beta=90.00 gamma=90.00
Fractional coordinates of all 5 atoms:
Te 0.0000 0.5000 0.0000
Na 0.0000 0.0000 0.0000
Te 0.0000 0.0000 0.5000
Ba 0.5000 0.5000 0.5000
Te 0.5000 0.0000 0.0000

magnetic moment	0.00	μB per cell
mass density	5.0	g cm⁻³
SG	Pm-3m, No. 221
VASP energy	-3.03	eV per atom
relative energy among the computed polymorphs	0.433	eV per atom
E_form (uncorrected)	-0.493	eV/atom

Here is an optimized crystal structure of Ba2Na2Te from the Alexandria database. Energies are from PBE.

Unit cell a=4.4182 b=4.4182 c=11.5633 alpha=78.99 beta=78.99 gamma=90.00
Fractional coordinates of all 5 atoms:
Ba 0.4116 0.4116 0.1768
Na 0.7500 0.2500 0.5000
Te 0.0000 0.0000 0.0000
Na 0.2500 0.7500 0.5000
Ba 0.5884 0.5884 0.8232

magnetic moment	0.00	μB per cell
mass density	3.4	g cm⁻³
SG	I4/mmm, No. 139
VASP energy	-2.48	eV per atom
relative energy among the computed polymorphs	0.000	eV per atom
E_form (uncorrected)	-0.551	eV/atom

Here is an optimized crystal structure of BaNaTe2 from the Alexandria database. Energies are from PBE.

Unit cell a=6.4002 b=6.4002 c=10.2270 alpha=71.77 beta=71.77 gamma=90.00
Site moments in Bohr magnetons follow the coordinates.
Fractional coordinates of all 8 atoms:
Te 0.5618 0.1250 0.2500  0.24
Te 0.1882 0.6250 0.2500  0.24
Na 0.2500 0.7500 0.5000  0.00
Na 0.5000 0.5000 0.0000  0.00
Te 0.8750 0.8118 0.7500  0.25
Ba 0.0000 0.0000 0.0000  0.03
Te 0.3750 0.4382 0.7500  0.25
Ba 0.7500 0.2500 0.5000  0.03

magnetic moment	2.00	μB per cell
mass density	3.7	g cm⁻³
SG	I-42d, No. 122
VASP energy	-3.24	eV per atom
E_form (uncorrected)	-0.863	eV/atom

Here is an optimized crystal structure of BaNa2Te from the Alexandria database. Energies are from PBE.

Unit cell a=4.8994 b=4.8994 c=14.5255 alpha=80.29 beta=80.29 gamma=90.00
Fractional coordinates of all 8 atoms:
Ba 0.0000 0.0000 0.0000
Te 0.5000 0.5000 0.0000
Na 0.1414 0.6250 0.2500
Ba 0.7500 0.2500 0.5000
Na 0.8750 0.8586 0.7500
Te 0.2500 0.7500 0.5000
Na 0.6086 0.1250 0.2500
Na 0.3750 0.3914 0.7500

magnetic moment	0.00	μB per cell
mass density	3.0	g cm⁻³
SG	I-42d, No. 122
VASP energy	-2.57	eV per atom
E_form (uncorrected)	-0.643	eV/atom

Here is an optimized crystal structure of BaNaTe2 from the Alexandria database. Energies are from PBE.

Unit cell a=4.8860 b=4.8860 c=12.3985 alpha=90.00 beta=90.00 gamma=81.27
Fractional coordinates of all 8 atoms:
Te 0.0000 0.5000 0.8405
Te 0.5000 0.0000 0.1595
Ba 0.5000 0.0000 0.7054
Te 0.0000 0.0000 0.5000
Te 0.5000 0.5000 0.5000
Ba 0.0000 0.5000 0.2946
Na 0.0000 0.0000 0.0000
Na 0.5000 0.5000 0.0000

magnetic moment	0.00	μB per cell
mass density	4.7	g cm⁻³
SG	Cmme, No. 67
VASP energy	-3.55	eV per atom
E_form (uncorrected)	-1.173	eV/atom

Here is an optimized crystal structure of BaNaTe2 from the Alexandria database. Energies are from PBE.

Unit cell a=4.4056 b=5.6312 c=5.6312 alpha=90.00 beta=90.00 gamma=90.00
Fractional coordinates of all 4 atoms:
Te 0.0000 0.0000 0.5000
Te 0.0000 0.5000 0.0000
Ba 0.5000 0.5000 0.5000
Na 0.5000 0.0000 0.0000

magnetic moment	0.00	μB per cell
mass density	4.9	g cm⁻³
SG	P4/mmm, No. 123
VASP energy	-3.45	eV per atom
E_form (uncorrected)	-1.067	eV/atom

Here is an optimized crystal structure of BaNaTe3 from the Alexandria database. Energies are from PBE.

Unit cell a=6.5753 b=6.5753 c=6.5753 alpha=90.00 beta=90.00 gamma=90.00
Site moments in Bohr magnetons follow the coordinates.
Fractional coordinates of all 5 atoms:
Te 0.0000 0.0000 0.5000  0.58
Te 0.0000 0.5000 0.0000  0.53
Ba 0.0000 0.0000 0.0000  0.01
Te 0.5000 0.0000 0.0000  0.42
Na 0.5000 0.5000 0.5000  0.00

magnetic moment	2.97	μB per cell
mass density	3.2	g cm⁻³
SG	Pm-3m, No. 221
VASP energy	-2.71	eV per atom
relative energy among the computed polymorphs	0.753	eV per atom
E_form (uncorrected)	-0.173	eV/atom

Here is an optimized crystal structure of Ba2Na2Te from the Alexandria database. Energies are from PBE.

Unit cell a=9.1841 b=9.1841 c=6.2207 alpha=90.00 beta=90.00 gamma=90.00
Fractional coordinates of all 10 atoms:
Te 0.5000 0.5000 0.0000
Na 0.6345 0.8655 0.5000
Ba 0.1731 0.3269 0.0000
Na 0.3655 0.1345 0.5000
Ba 0.3269 0.8269 0.0000
Na 0.8655 0.3655 0.5000
Ba 0.6731 0.1731 0.0000
Ba 0.8269 0.6731 0.0000
Te 0.0000 0.0000 0.0000
Na 0.1345 0.6345 0.5000

magnetic moment	0.00	μB per cell
mass density	2.8	g cm⁻³
SG	P4/mbm, No. 127
VASP energy	-2.37	eV per atom
relative energy among the computed polymorphs	0.110	eV per atom
E_form (uncorrected)	-0.441	eV/atom

Here is an optimized crystal structure of Ba2Na2Te from the Alexandria database. Energies are from PBE.

Unit cell a=8.6229 b=8.6229 c=5.4846 alpha=90.00 beta=90.00 gamma=90.00
Fractional coordinates of all 10 atoms:
Ba 0.8215 0.3215 0.5000
Na 0.8690 0.6310 0.0000
Ba 0.6785 0.8215 0.5000
Na 0.1310 0.3690 0.0000
Te 0.5000 0.5000 0.0000
Te 0.0000 0.0000 0.0000
Ba 0.3215 0.1785 0.5000
Na 0.6310 0.1310 0.0000
Ba 0.1785 0.6785 0.5000
Na 0.3690 0.8690 0.0000

magnetic moment	0.00	μB per cell
mass density	3.7	g cm⁻³
SG	P4/mbm, No. 127
VASP energy	-2.32	eV per atom
relative energy among the computed polymorphs	0.156	eV per atom
E_form (uncorrected)	-0.395	eV/atom